# 1
Entry from Alexandria via LeMat-Bulk: a geometry-optimized Ta2In2Pt structure (PBE-GGA).

Geometry as POSCAR:
```
Ta2In2Pt
1.0
6.781 0.000 0.000
0.000 6.781 0.000
0.000 0.000 4.304
Ta Pt In
4 2 4
Direct
0.151 0.651 0.500 Ta
0.349 0.151 0.500 Ta
0.651 0.849 0.500 Ta
0.849 0.349 0.500 Ta
0.500 0.500 0.000 Pt
0.000 0.000 0.000 Pt
0.355 0.855 0.000 In
0.145 0.355 0.000 In
0.645 0.145 0.000 In
0.855 0.645 0.000 In
```

Output
volume: 98.95 Å³/f.u.
formation enthalpy at 0 K: 0.339 eV per atom
density: 13.201 g cm⁻³
total magnetization: 0.000 μB/f.u.
crystal system: tetragonal

# 2
Entry from Alexandria via LeMat-Bulk: a geometry-optimized Ta4InPt structure (PBE-GGA).

Geometry as POSCAR:
```
Ta4InPt
1.0
-3.869 -1.016 -3.703
-4.025 3.589 -0.791
-0.194 2.906 -4.607
Pt Ta In
1 4 1
Direct
0.000 0.000 0.000 Pt
0.872 0.376 0.376 Ta
0.376 0.376 0.376 Ta
0.376 0.376 0.872 Ta
0.376 0.872 0.376 Ta
0.750 0.750 0.750 In
```

Output
volume: 114.50 Å³/f.u.
formation enthalpy at 0 K: 0.256 eV per atom
density: 14.992 g cm⁻³
total magnetization: 0.000 μB/f.u.
crystal system: cubic

# 3
Entry from Alexandria via LeMat-Bulk: a geometry-optimized TaInPt2 structure (PBE-GGA).

Geometry as POSCAR:
```
TaInPt2
1.0
4.794 0.003 -0.010
3.911 2.773 -0.010
0.738 0.235 5.300
Pt Ta In
2 1 1
Direct
0.002 0.002 0.981 Pt
0.498 0.498 0.519 Pt
0.750 0.750 0.750 Ta
0.250 0.250 0.250 In
```

Output
volume: 70.41 Å³/f.u.
formation enthalpy at 0 K: -0.304 eV per atom
density: 16.177 g cm⁻³
total magnetization: 0.000 μB/f.u.
crystal system: monoclinic

# 4
Entry from Alexandria via LeMat-Bulk: a geometry-optimized TaInPt2 structure (PBE-GGA).

Geometry as POSCAR:
```
TaInPt2
1.0
4.130 0.000 0.000
0.000 4.125 0.000
0.000 0.000 4.074
Pt Ta In
2 1 1
Direct
0.500 0.500 0.000 Pt
0.000 0.000 0.000 Pt
0.500 0.000 0.500 Ta
0.000 0.500 0.500 In
```

Output
volume: 69.40 Å³/f.u.
formation enthalpy at 0 K: -0.236 eV per atom
density: 16.413 g cm⁻³
total magnetization: 0.001 μB/f.u.
crystal system: tetragonal

# 5
Entry from Alexandria via LeMat-Bulk: a geometry-optimized TaInPt2 structure (PBE-GGA).

Geometry as POSCAR:
```
TaInPt2
1.0
7.368 0.000 0.000
0.000 7.368 0.000
3.684 3.684 2.866
Pt Ta In
4 2 2
Direct
0.375 0.354 0.750 Pt
0.875 0.896 0.750 Pt
0.104 0.625 0.250 Pt
0.646 0.125 0.250 Pt
0.750 0.250 0.500 Ta
0.000 0.000 0.000 Ta
0.500 0.500 0.000 In
0.250 0.750 0.500 In
```

Output
volume: 77.80 Å³/f.u.
formation enthalpy at 0 K: -0.058 eV per atom
density: 14.640 g cm⁻³
total magnetization: 0.000 μB/f.u.
crystal system: tetragonal

# 6
Entry from Alexandria via LeMat-Bulk: a geometry-optimized TaInPt2 structure (PBE-GGA).

Geometry as POSCAR:
```
TaInPt2
1.0
-4.232 2.478 -0.862
-3.405 -3.256 -1.612
2.975 -0.093 3.992
In Ta Pt
1 1 2
Direct
0.750 0.250 0.500 In
0.500 0.500 0.000 Ta
0.000 0.000 0.000 Pt
0.250 0.750 0.500 Pt
```

Output
volume: 68.81 Å³/f.u.
formation enthalpy at 0 K: -0.325 eV per atom
density: 16.552 g cm⁻³
total magnetization: 0.000 μB/f.u.
crystal system: tetragonal

# 7
Entry from Alexandria via LeMat-Bulk: a geometry-optimized TaInPt2 structure (PBE-GGA).

Geometry as POSCAR:
```
TaInPt2
1.0
-1.514 -3.554 -2.503
-2.502 -3.314 1.987
-4.484 -0.391 -0.965
Pt In Ta
2 1 1
Direct
0.000 0.000 0.000 Pt
0.250 0.250 0.250 Pt
0.500 0.500 0.500 In
0.750 0.750 0.750 Ta
```

Output
volume: 68.99 Å³/f.u.
formation enthalpy at 0 K: -0.218 eV per atom
density: 16.511 g cm⁻³
total magnetization: 0.000 μB/f.u.
crystal system: cubic

# 8
Entry from Alexandria via LeMat-Bulk: a geometry-optimized TaInPt2 structure (PBE-GGA).

Geometry as POSCAR:
```
TaInPt2
1.0
-4.778 1.286 -0.325
-0.437 -2.861 -4.027
-0.707 -2.212 1.648
Ta Pt In
1 2 1
Direct
0.500 0.000 0.500 Ta
0.000 0.000 0.000 Pt
0.500 0.500 0.000 Pt
0.000 0.500 0.500 In
```

Output
volume: 70.02 Å³/f.u.
formation enthalpy at 0 K: -0.400 eV per atom
density: 16.266 g cm⁻³
total magnetization: 0.000 μB/f.u.
crystal system: orthorhombic

# 9
Entry from Alexandria via LeMat-Bulk: a geometry-optimized TaInPt2 structure (PBE-GGA).

Geometry as POSCAR:
```
TaInPt2
1.0
5.020 0.009 -0.013
4.178 2.783 -0.013
0.697 0.212 4.995
In Pt Ta
1 2 1
Direct
0.253 0.253 0.211 In
0.001 0.001 0.030 Pt
0.752 0.752 0.713 Pt
0.494 0.494 0.545 Ta
```

Output
volume: 69.62 Å³/f.u.
formation enthalpy at 0 K: -0.389 eV per atom
density: 16.360 g cm⁻³
total magnetization: 0.000 μB/f.u.
crystal system: monoclinic

# 10
Entry from Alexandria via LeMat-Bulk: a geometry-optimized TaInPt2 structure (PBE-GGA).

Geometry as POSCAR:
```
TaInPt2
1.0
9.518 0.018 0.011
9.059 2.918 0.011
9.059 1.432 2.543
Ta Pt In
1 2 1
Direct
0.504 0.504 0.504 Ta
0.249 0.249 0.249 Pt
0.000 0.000 0.000 Pt
0.747 0.747 0.747 In
```

Output
volume: 69.93 Å³/f.u.
formation enthalpy at 0 K: -0.156 eV per atom
density: 16.288 g cm⁻³
total magnetization: 0.000 μB/f.u.
crystal system: trigonal

# 11
Entry from Alexandria via LeMat-Bulk: a geometry-optimized TaInPt2 structure (PBE-GGA).

Geometry as POSCAR:
```
TaInPt2
1.0
-3.076 0.502 1.252
-1.075 -0.029 -2.629
-2.081 -7.378 -2.151
Ta Pt In
1 2 1
Direct
0.500 0.250 0.250 Ta
0.000 0.517 0.482 Pt
0.000 0.983 0.018 Pt
0.500 0.750 0.750 In
```

Output
volume: 70.91 Å³/f.u.
formation enthalpy at 0 K: -0.522 eV per atom
density: 16.063 g cm⁻³
total magnetization: 0.000 μB/f.u.
crystal system: monoclinic

# 12
Entry from Alexandria via LeMat-Bulk: a geometry-optimized TaInPt3 structure (PBE-GGA).

Geometry as POSCAR:
```
TaInPt3
1.0
-0.900 -4.233 -2.372
4.340 0.377 -2.319
2.170 -2.509 3.654
Pt In Ta
3 1 1
Direct
0.500 0.000 0.000 Pt
0.000 0.500 0.000 Pt
0.000 0.000 0.500 Pt
0.500 0.500 0.500 In
0.000 0.000 0.000 Ta
```

Output
volume: 120.20 Å³/f.u.
formation enthalpy at 0 K: 0.655 eV per atom
density: 12.171 g cm⁻³
total magnetization: 0.000 μB/f.u.
crystal system: cubic

# 13
Entry from Alexandria via LeMat-Bulk: a geometry-optimized TaIn2Pt9 structure (PBE-GGA).

Geometry as POSCAR:
```
TaIn2Pt9
1.0
4.033 0.000 0.000
0.000 4.033 0.000
0.000 0.000 12.083
Ta Pt In
1 9 2
Direct
0.000 0.000 0.000 Ta
0.500 0.500 0.670 Pt
0.500 0.000 0.500 Pt
0.500 0.500 0.000 Pt
0.000 0.500 0.158 Pt
0.500 0.000 0.842 Pt
0.500 0.000 0.158 Pt
0.500 0.500 0.330 Pt
0.000 0.500 0.842 Pt
0.000 0.500 0.500 Pt
0.000 0.000 0.335 In
0.000 0.000 0.665 In
```

Output
volume: 196.55 Å³/f.u.
formation enthalpy at 0 K: -0.548 eV per atom
density: 18.302 g cm⁻³
total magnetization: 0.000 μB/f.u.
crystal system: tetragonal

# 14
Entry from Alexandria via LeMat-Bulk: a geometry-optimized TaInTcPt2 structure (PBE-GGA).

Geometry as POSCAR:
```
TaInTcPt2
1.0
-4.357 -0.836 2.131
0.834 -4.593 -0.096
2.113 0.291 4.436
Ta In Tc Pt
1 1 1 2
Direct
0.000 0.500 0.000 Ta
0.500 0.500 0.500 In
0.000 0.000 0.000 Tc
0.500 0.000 0.000 Pt
0.000 0.000 0.500 Pt
```

Output
volume: 113.12 Å³/f.u.
formation enthalpy at 0 K: 0.979 eV per atom
density: 11.507 g cm⁻³
total magnetization: 0.019 μB/f.u.
crystal system: tetragonal

# 15
Entry from Alexandria via LeMat-Bulk: a geometry-optimized Tb11In9Pt4 structure (PBE-GGA).

Geometry as POSCAR:
```
Tb11In9Pt4
1.0
-1.886 -2.963 -1.141
2.760 3.101 -12.614
9.151 -7.927 5.455
In Tb Pt
9 11 4
Direct
0.500 0.843 0.366 In
0.500 0.785 0.928 In
0.500 0.072 0.215 In
0.500 0.157 0.634 In
0.500 0.366 0.843 In
0.500 0.215 0.072 In
0.500 0.634 0.157 In
0.500 0.928 0.785 In
0.500 0.500 0.500 In
0.000 0.309 0.309 Tb
0.000 0.839 0.161 Tb
0.000 0.373 0.627 Tb
0.000 0.627 0.373 Tb
0.000 0.926 0.586 Tb
0.000 0.586 0.926 Tb
0.000 0.414 0.074 Tb
0.000 0.161 0.839 Tb
0.000 0.074 0.414 Tb
0.000 0.000 0.000 Tb
0.000 0.691 0.691 Tb
0.500 0.448 0.246 Pt
0.500 0.552 0.754 Pt
0.500 0.246 0.448 Pt
0.500 0.754 0.552 Pt
```

Output
volume: 600.67 Å³/f.u.
formation enthalpy at 0 K: -0.795 eV per atom
density: 9.847 g cm⁻³
total magnetization: 0.000 μB/f.u.
crystal system: orthorhombic

# 16
Entry from Alexandria via LeMat-Bulk: a geometry-optimized Tb3In7Pt4 structure (PBE-GGA).

Geometry as POSCAR:
```
Tb3In7Pt4
1.0
4.269 0.000 1.077
1.568 8.046 2.785
-0.022 -0.039 9.086
In Pt Tb
7 4 3
Direct
0.000 0.000 0.000 In
0.319 0.839 0.524 In
0.681 0.161 0.476 In
0.509 0.776 0.206 In
0.836 0.398 0.930 In
0.491 0.224 0.794 In
0.164 0.602 0.070 In
0.883 0.903 0.331 Pt
0.340 0.560 0.760 Pt
0.660 0.440 0.240 Pt
0.117 0.097 0.669 Pt
0.000 0.500 0.500 Tb
0.304 0.185 0.208 Tb
0.696 0.815 0.792 Tb
```

Output
volume: 312.67 Å³/f.u.
formation enthalpy at 0 K: -0.694 eV per atom
density: 10.945 g cm⁻³
total magnetization: 0.000 μB/f.u.
crystal system: monoclinic

# 17
Entry from Alexandria via LeMat-Bulk: a geometry-optimized Tb4InPt structure (PBE-GGA).

Geometry as POSCAR:
```
Tb4InPt
1.0
6.996 0.000 -0.129
0.000 7.207 0.000
-0.227 0.000 7.445
Tb In Pt
8 2 2
Direct
0.619 0.144 0.823 Tb
0.676 0.664 0.646 Tb
0.324 0.336 0.354 Tb
0.176 0.836 0.646 Tb
0.824 0.164 0.354 Tb
0.381 0.856 0.177 Tb
0.881 0.644 0.177 Tb
0.119 0.356 0.823 Tb
0.000 0.000 0.000 In
0.500 0.500 0.000 In
0.000 0.500 0.500 Pt
0.500 0.000 0.500 Pt
```

Output
volume: 187.57 Å³/f.u.
formation enthalpy at 0 K: -0.429 eV per atom
density: 8.371 g cm⁻³
total magnetization: 0.000 μB/f.u.
crystal system: monoclinic

# 18
Entry from Alexandria via LeMat-Bulk: a geometry-optimized Tb12InPt6 structure (PBE-GGA).

Geometry as POSCAR:
```
Tb12InPt6
1.0
8.188 0.000 -2.895
-4.094 7.091 -2.895
0.000 0.000 8.685
Tb Pt In
12 6 1
Direct
0.181 0.700 0.881 Tb
0.819 0.300 0.119 Tb
0.700 0.881 0.181 Tb
0.881 0.181 0.700 Tb
0.119 0.819 0.300 Tb
0.700 0.520 0.819 Tb
0.480 0.181 0.300 Tb
0.819 0.700 0.520 Tb
0.300 0.119 0.819 Tb
0.181 0.300 0.480 Tb
0.520 0.819 0.700 Tb
0.300 0.480 0.181 Tb
0.638 0.500 0.138 Pt
0.138 0.638 0.500 Pt
0.500 0.862 0.362 Pt
0.362 0.500 0.862 Pt
0.500 0.138 0.638 Pt
0.862 0.362 0.500 Pt
0.000 0.000 0.000 In
```

Output
volume: 504.27 Å³/f.u.
formation enthalpy at 0 K: -0.845 eV per atom
density: 10.512 g cm⁻³
total magnetization: 0.000 μB/f.u.
crystal system: cubic

# 19
Entry from Alexandria via LeMat-Bulk: a geometry-optimized Tb6In3Pt structure (PBE-GGA).

Geometry as POSCAR:
```
Tb6In3Pt
1.0
5.075 0.000 0.000
0.000 9.390 -3.133
0.000 -0.224 11.589
Tb In Pt
12 6 2
Direct
0.250 0.254 0.480 Tb
0.250 0.123 0.144 Tb
0.750 0.114 0.638 Tb
0.250 0.886 0.362 Tb
0.750 0.746 0.520 Tb
0.750 0.343 0.310 Tb
0.750 0.877 0.856 Tb
0.750 0.541 0.910 Tb
0.250 0.459 0.090 Tb
0.750 0.895 0.149 Tb
0.250 0.657 0.690 Tb
0.250 0.105 0.851 Tb
0.750 0.227 0.012 In
0.750 0.631 0.231 In
0.750 0.456 0.616 In
0.250 0.544 0.384 In
0.250 0.369 0.769 In
0.250 0.773 0.988 In
0.750 0.099 0.386 Pt
0.250 0.901 0.614 Pt
```

Output
volume: 274.37 Å³/f.u.
formation enthalpy at 0 K: -0.521 eV per atom
density: 9.036 g cm⁻³
total magnetization: 0.001 μB/f.u.
crystal system: monoclinic

# 20
Entry from Alexandria via LeMat-Bulk: a geometry-optimized TbInPt2 structure (PBE-GGA).

Geometry as POSCAR:
```
TbInPt2
1.0
-2.506 -2.187 1.827
2.091 0.682 3.683
-1.686 5.222 -0.010
Pt In Tb
2 1 1
Direct
0.997 0.000 0.532 Pt
0.166 0.500 0.871 Pt
0.728 0.000 0.995 In
0.440 0.500 0.419 Tb
```

Output
volume: 83.79 Å³/f.u.
formation enthalpy at 0 K: -0.927 eV per atom
density: 13.157 g cm⁻³
total magnetization: 0.000 μB/f.u.
crystal system: orthorhombic

# 21
Entry from Alexandria via LeMat-Bulk: a geometry-optimized TbInPt2 structure (PBE-GGA).

Geometry as POSCAR:
```
TbInPt2
1.0
-3.649 1.559 2.732
-0.679 -3.649 -3.072
2.143 -5.405 5.947
Tb Pt In
2 4 2
Direct
0.000 0.000 0.500 Tb
0.000 0.000 0.000 Tb
0.333 0.667 0.590 Pt
0.667 0.333 0.410 Pt
0.667 0.333 0.090 Pt
0.333 0.667 0.910 Pt
0.667 0.333 0.750 In
0.333 0.667 0.250 In
```

Output
volume: 83.60 Å³/f.u.
formation enthalpy at 0 K: -0.827 eV per atom
density: 13.188 g cm⁻³
total magnetization: 0.000 μB/f.u.
crystal system: hexagonal

# 22
Entry from Alexandria via LeMat-Bulk: a geometry-optimized Tb3InPt structure (PBE-GGA).

Geometry as POSCAR:
```
Tb3InPt
1.0
4.894 -0.006 0.001
-2.441 5.920 0.788
-0.002 -1.655 9.124
Tb Pt In
6 2 2
Direct
0.398 0.796 0.133 Tb
0.882 0.765 0.843 Tb
0.146 0.292 0.591 Tb
0.854 0.708 0.409 Tb
0.602 0.204 0.867 Tb
0.118 0.235 0.157 Tb
0.238 0.477 0.883 Pt
0.762 0.523 0.117 Pt
0.584 0.167 0.384 In
0.416 0.833 0.616 In
```

Output
volume: 135.31 Å³/f.u.
formation enthalpy at 0 K: -0.663 eV per atom
density: 9.654 g cm⁻³
total magnetization: 0.000 μB/f.u.
crystal system: monoclinic

# 23
Entry from Alexandria via LeMat-Bulk: a geometry-optimized Tb4In3Pt structure (PBE-GGA).

Geometry as POSCAR:
```
Tb4In3Pt
1.0
-3.574 -0.095 0.380
0.149 -3.555 0.517
1.594 2.330 15.559
Tb In Pt
4 3 1
Direct
0.000 0.000 0.369 Tb
0.000 0.000 0.631 Tb
0.000 0.000 0.895 Tb
0.000 0.000 0.105 Tb
0.500 0.500 0.500 In
0.500 0.500 0.240 In
0.500 0.500 0.760 In
0.500 0.500 0.000 Pt
```

Output
volume: 204.39 Å³/f.u.
formation enthalpy at 0 K: -0.663 eV per atom
density: 9.548 g cm⁻³
total magnetization: 0.000 μB/f.u.
crystal system: tetragonal